Record 1
A relaxed PrTmAgSn crystal. Source: Alexandria via LeMat-Bulk, functional GGA-PBE.

## Properties
D(E_F) ... 4.13 states/eV/f.u.
Total magnetization ... 0.01 μB/f.u.
ΔH_f (0 K) ... -1.942 eV per formula unit

Geometry as POSCAR:
```
PrTmAgSn
1.0
5.3101 0.0000 0.0000
2.6550 4.5987 0.0000
2.6550 1.5329 4.3357
Pr Tm Sn Ag
1 1 1 1
Direct
0.5000 0.5000 0.5000
0.0000 0.0000 0.0000
0.2500 0.2500 0.2500
0.7500 0.7500 0.7500
```


Record 2
A relaxed Pr2YAg2Sn2 crystal. Source: Alexandria via LeMat-Bulk, functional GGA-PBE.

## Properties
D(E_F) ... 3.83 states/eV/f.u.
Total magnetization ... 0.00 μB/f.u.
ΔH_f (0 K) ... -2.932 eV per formula unit

Geometry as POSCAR:
```
Pr2YAg2Sn2
1.0
-4.7059 -0.6337 -0.8539
-1.6027 -4.2410 -1.6500
-3.3069 -4.6145 8.0191
Pr Y Ag Sn
2 1 2 2
Direct
0.1269 0.1269 0.6192
0.8731 0.8731 0.3808
0.0000 0.0000 0.0000
0.6096 0.6096 0.1712
0.3904 0.3904 0.8288
0.7348 0.7348 0.7956
0.2652 0.2652 0.2044
```


Record 3
A relaxed PrY2Ag2Sn2 crystal. Source: Alexandria via LeMat-Bulk, functional GGA-PBE.

## Properties
D(E_F) ... 3.50 states/eV/f.u.
Total magnetization ... 0.00 μB/f.u.
ΔH_f (0 K) ... -3.179 eV per formula unit

Geometry as POSCAR:
```
PrY2Ag2Sn2
1.0
4.8995 0.0000 0.0000
2.4497 4.2431 0.0000
2.4497 1.4144 8.7842
Pr Y Ag Sn
1 2 2 2
Direct
0.0000 0.0000 0.0000
0.1345 0.1345 0.5964
0.8655 0.8655 0.4036
0.5614 0.5614 0.3159
0.4386 0.4386 0.6841
0.7374 0.7374 0.7878
0.2626 0.2626 0.2122
```


Record 4
A relaxed PrZnAgSn crystal. Source: Alexandria via LeMat-Bulk, functional GGA-PBE.

## Properties
D(E_F) ... 2.31 states/eV/f.u.
Total magnetization ... 0.00 μB/f.u.
ΔH_f (0 K) ... -1.343 eV per formula unit

Geometry as POSCAR:
```
PrZnAgSn
1.0
-0.4897 -1.8216 4.6937
0.1291 -4.9930 0.8016
3.9755 -2.0854 2.3313
Pr Zn Sn Ag
1 1 1 1
Direct
0.7500 0.7500 0.7500
0.5000 0.5000 0.5000
0.2500 0.2500 0.2500
0.0000 0.0000 0.0000
```